VASP calculation (PBE-GGA) on ZrTc2Mo after structural relaxation.

Cell lengths 8.676, 8.676, 8.676 Å; angles 20.11, 20.11, 20.11 degrees
Positions (direct):
1 Mo 0.750 0.750 0.750
2 Tc 0.005 0.005 0.005
3 Tc 0.495 0.495 0.495
4 Zr 0.250 0.250 0.250

The value obtained for the magnetic moment is 0.00 Bohr magnetons per cell. The calculation puts the volume at 67.5 Å³/cell. The value obtained for the total energy is -9.852 eV/atom.

=====

VASP calculation (PBE-GGA) on ZrTc2Mo after structural relaxation.

Cell lengths 2.866, 2.866, 8.224 Å; angles 90.00, 90.00, 90.00 degrees
Positions (direct):
1 Mo 0.500 0.500 0.777
2 Tc 0.000 0.000 0.019
3 Tc 0.500 0.500 0.217
4 Zr 0.000 0.000 0.488

The value obtained for the magnetic moment is 0.00 Bohr magnetons per cell. The calculation puts the volume at 67.5 Å³/cell. The value obtained for the total energy is -9.902 eV/atom.

=====

VASP calculation (PBE-GGA) on ZrTc2Mo after structural relaxation.

Cell lengths 5.269, 5.269, 5.269 Å; angles 144.73, 127.72, 64.64 degrees
Positions (direct):
1 Mo 0.250 0.750 0.500
2 Tc 0.009 0.009 0.000
3 Tc 0.491 0.491 0.000
4 Zr 0.750 0.250 0.500

The value obtained for the magnetic moment is 0.00 Bohr magnetons per cell. The calculation puts the volume at 66.0 Å³/cell. The value obtained for the total energy is -10.078 eV/atom.

=====

VASP calculation (PBE-GGA) on ZrTc3Mo after structural relaxation.

Cell lengths 4.641, 4.641, 4.641 Å; angles 90.00, 90.00, 90.00 degrees
Positions (direct):
1 Mo 0.000 0.000 0.000
2 Tc 0.000 0.500 0.000
3 Tc 0.000 0.000 0.500
4 Tc 0.500 0.000 0.000
5 Zr 0.500 0.500 0.500

The value obtained for the magnetic moment is 0.00 Bohr magnetons per cell. The value obtained for the energy above the most stable polymorph in this dataset is 0 meV per atom. The calculation puts the volume at 99.9 Å³/cell. The value obtained for the total energy is -8.982 eV/atom.

=====

VASP calculation (PBE-GGA) on Zr6Tc5Mo after structural relaxation.

Cell lengths 4.670, 6.616, 7.379 Å; angles 90.00, 108.52, 90.00 degrees
Positions (direct):
1 Mo 0.000 0.000 0.000
2 Tc 0.667 0.500 0.335
3 Tc 0.335 0.000 0.670
4 Tc 0.000 0.500 0.000
5 Tc 0.665 0.000 0.330
6 Tc 0.333 0.500 0.665
7 Zr 0.832 0.748 0.664
8 Zr 0.832 0.252 0.664
9 Zr 0.500 0.253 0.000
10 Zr 0.500 0.747 0.000
11 Zr 0.168 0.748 0.336
12 Zr 0.168 0.252 0.336

The value obtained for the magnetic moment is 0.00 Bohr magnetons per cell. The calculation puts the volume at 216.2 Å³/cell. The value obtained for the total energy is -9.781 eV/atom.

=====

VASP calculation (PBE-GGA) on ZrTc2Mo after structural relaxation.

Cell lengths 3.189, 3.189, 6.522 Å; angles 90.00, 90.00, 90.00 degrees
Positions (direct):
1 Mo 0.500 0.500 0.770
2 Tc 0.000 0.000 0.995
3 Tc 0.500 0.500 0.240
4 Zr 0.000 0.000 0.495

The value obtained for the magnetic moment is 0.00 Bohr magnetons per cell. The calculation puts the volume at 66.3 Å³/cell. The value obtained for the total energy is -10.054 eV/atom.